Computed, not measured: an optimized crystal structure of Tb4Y3Pt4 at the PBE level of DFT.

a = 9.019 Å, b = 9.019 Å, c = 9.019 Å
α = 151.56°, β = 126.78°, γ = 61.44°
Element x y z (fractional)
Tb 0.037 0.831 0.205
Tb 0.374 0.169 0.205
Tb 0.626 0.831 0.795
Tb 0.963 0.169 0.795
Y 0.000 0.500 0.500
Y 0.397 0.397 0.000
Y 0.603 0.603 0.000
Pt 0.216 0.716 0.500
Pt 0.320 0.000 0.320
Pt 0.680 0.000 0.680
Pt 0.784 0.284 0.500

Properties
Crystal system: orthorhombic
ΔE_f: -0.88 eV/atom
SG: No. 71